<P>
## In3CuRe (PBE-GGA)

Data for a relaxed structure of In3CuRe.

abc: 4.932 4.932 4.932
angles: 90.00 90.00 90.00
Fractional coordinates of all 5 atoms:
1 In 0.000 0.000 0.500
2 In 0.000 0.500 0.000
3 In 0.500 0.000 0.000
4 Cu 0.000 0.000 0.000
5 Re 0.500 0.500 0.500

symmetry: Pm-3m (221)
magnetic moment: 0.667 μB per atom

=====

<Q>
## In3CuRe (PBE-GGA)

Data for a relaxed structure of In3CuRe.

abc: 5.217 5.217 5.217
angles: 90.00 90.00 90.00
Fractional coordinates of all 5 atoms:
1 In 0.000 0.000 0.500
2 In 0.000 0.500 0.000
3 In 0.500 0.000 0.000
4 Cu 0.500 0.500 0.500
5 Re 0.000 0.000 0.000

symmetry: Pm-3m (221)
magnetic moment: 0.000 μB per atom

=====

Sorted by energy, starting with the most stable: <Q>, <P>.

=====

<P>
## In2CuRh2 (PBE-GGA)

Data for a relaxed structure of In2CuRh2.

abc: 7.514 7.514 3.134
angles: 90.00 90.00 90.00
Fractional coordinates of all 10 atoms:
1 In 0.152 0.348 0.000
2 In 0.348 0.848 0.000
3 In 0.652 0.152 0.000
4 In 0.848 0.652 0.000
5 Cu 0.000 0.000 0.000
6 Cu 0.500 0.500 0.000
7 Rh 0.147 0.647 0.500
8 Rh 0.353 0.147 0.500
9 Rh 0.647 0.853 0.500
10 Rh 0.853 0.353 0.500

symmetry: P4/mbm (127)
magnetic moment: 0.000 μB per atom

=====

<Q>
## In2CuRh2 (PBE-GGA)

Data for a relaxed structure of In2CuRh2.

abc: 6.700 6.700 3.899
angles: 90.00 90.00 90.00
Fractional coordinates of all 10 atoms:
1 In 0.164 0.336 0.000
2 In 0.336 0.836 0.000
3 In 0.664 0.164 0.000
4 In 0.836 0.664 0.000
5 Cu 0.000 0.000 0.500
6 Cu 0.500 0.500 0.500
7 Rh 0.142 0.642 0.500
8 Rh 0.358 0.142 0.500
9 Rh 0.642 0.858 0.500
10 Rh 0.858 0.358 0.500

symmetry: P4/mbm (127)
magnetic moment: 0.000 μB per atom

=====

Sorted by energy, starting with the most stable: <Q>, <P>.